# 1
Computed, not measured: a relaxed MgScCuGe crystal at the PBE level of DFT.

Summary:
Offset from the most stable computed form, meV per atom: 305
Electronic total energy, eV for the cell shown: -16.42
Total magnetization, Bohr magnetons per cell: 0.0
Space-group type: F-43m

```
MgScCuGe
1.0
0.0000 3.2521 3.2521
3.2521 0.0000 3.2521
3.2521 3.2521 0.0000
Mg Sc Cu Ge
1 1 1 1
Direct
0.0000 0.0000 0.0000
0.7500 0.7500 0.7500
0.5000 0.5000 0.5000
0.2500 0.2500 0.2500
```

=====

# 2
Computed, not measured: a relaxed Hf3Co crystal at the PBE level of DFT.

Summary:
Electronic total energy, eV for the cell shown: -73.03
Total magnetization, Bohr magnetons per cell: 0.5
Space-group type: P6_3/mmc
Formation energy, eV/atom: 0.11

```
Hf3Co
1.0
6.0181 0.0000 0.0000
-3.0091 5.2119 0.0000
0.0000 0.0000 4.7784
Hf Co
6 2
Direct
0.1748 0.3497 0.2500
0.1748 0.8252 0.2500
0.3497 0.1748 0.7500
0.6503 0.8252 0.2500
0.8252 0.1748 0.7500
0.8252 0.6503 0.7500
0.3333 0.6667 0.7500
0.6667 0.3333 0.2500
```

=====

# 3
Computed, not measured: a relaxed LaNiGe crystal at the PBE level of DFT.

Summary:
Electronic total energy, eV for the cell shown: -14.35
Total magnetization, Bohr magnetons per cell: 0.0
Space-group type: F-43m

```
LaNiGe
1.0
0.0000 3.3788 3.3788
3.3788 0.0000 3.3788
3.3788 3.3788 0.0000
La Ni Ge
1 1 1
Direct
0.0000 0.0000 0.0000
0.2500 0.2500 0.2500
0.7500 0.7500 0.7500
```

=====

# 4
Computed, not measured: a relaxed Lu2Zn2O5 crystal at the PBE level of DFT.

Summary:
Offset from the most stable computed form, meV per atom: 0
Electronic total energy, eV for the cell shown: -55.39
Total magnetization, Bohr magnetons per cell: 0.0
Space-group type: P4/mmm

```
Lu2Zn2O5
1.0
3.8600 0.0000 0.0000
0.0000 3.8600 0.0000
0.0000 0.0000 6.9226
Lu Zn O
2 2 5
Direct
0.0000 0.0000 0.0000
0.0000 0.0000 0.5000
0.5000 0.5000 0.2216
0.5000 0.5000 0.7784
0.0000 0.5000 0.1996
0.0000 0.5000 0.8004
0.5000 0.0000 0.1996
0.5000 0.0000 0.8004
0.5000 0.5000 0.5000
```

=====

# 5
Computed, not measured: a relaxed BeGeMoW crystal at the PBE level of DFT.

Summary:
Offset from the most stable computed form, meV per atom: 51
Electronic total energy, eV for the cell shown: -30.83
Total magnetization, Bohr magnetons per cell: 0.0
Space-group type: F-43m

```
BeGeMoW
1.0
0.0000 3.0230 3.0230
3.0230 0.0000 3.0230
3.0230 3.0230 0.0000
Be Ge Mo W
1 1 1 1
Direct
0.0000 0.0000 0.0000
0.5000 0.5000 0.5000
0.7500 0.7500 0.7500
0.2500 0.2500 0.2500
```

=====

# 6
Computed, not measured: a relaxed NpB crystal at the PBE level of DFT.

Summary:
Offset from the most stable computed form, meV per atom: 0
Electronic total energy, eV for the cell shown: -38.14
Total magnetization, Bohr magnetons per cell: 6.4
Space-group type: P6_3/mmc

```
NpB
1.0
4.1489 0.0000 0.0000
-2.0744 3.5931 0.0000
0.0000 0.0000 3.7889
Np B
2 2
Direct
0.3333 0.6667 0.2500
0.6667 0.3333 0.7500
0.0000 0.0000 0.0000
0.0000 0.0000 0.5000
```

=====

# 7
Computed, not measured: a relaxed ScAuSe2 crystal at the PBE level of DFT.

Summary:
Electronic total energy, eV for the cell shown: -20.45
Total magnetization, Bohr magnetons per cell: 0.0
Space-group type: R3m

```
ScAuSe2
1.0
1.9672 1.1357 7.0596
-1.9672 1.1357 7.0596
0.0000 -2.2715 7.0596
Sc Au Se
1 1 2
Direct
0.0000 0.0000 0.0000
0.1482 0.1482 0.1482
0.2653 0.2653 0.2653
0.7406 0.7406 0.7406
```

=====

# 8
Computed, not measured: a relaxed LuCuReTc crystal at the PBE level of DFT.

Summary:
Offset from the most stable computed form, meV per atom: 535
Electronic total energy, eV for the cell shown: -28.52
Total magnetization, Bohr magnetons per cell: 1.5
Space-group type: F-43m
Formation energy, eV/atom: 0.63

```
LuCuReTc
1.0
0.0000 3.1812 3.1812
3.1812 0.0000 3.1812
3.1812 3.1812 0.0000
Lu Cu Re Tc
1 1 1 1
Direct
0.0000 0.0000 0.0000
0.5000 0.5000 0.5000
0.7500 0.7500 0.7500
0.2500 0.2500 0.2500
```